[1]
11
Lattice="-3.1214 0.2059 5.9587 5.6215 0.6876 8.9092 3.1171 6.8713 7.3835" Properties=species:S:1:pos:R:3 comment="Pr8NdTm2 | the Alexandria database | GGA-PBE | relaxed" formation_energy_ev_per_atom=0.16 polymorph_energy_mev_per_atom=60 magnetic_moment_mub_per_cell=0.000 spacegroup="C2/m (12)" pbc="T T T"
Pr 3.8003 5.9718 10.6143
Pr 0.6174 4.7548 10.9064
Pr 6.0710 5.7409 13.3029
Pr -0.4538 2.0240 8.9485
Pr 4.9998 3.0101 11.3450
Pr 1.8169 1.7930 11.6371
Pr 2.9532 4.6603 14.0413
Pr 2.6640 3.1045 8.2102
Nd 0.0000 0.0000 0.0000
Tm 5.1690 6.1791 16.5598
Tm 0.4482 1.5858 5.6916



[2]
18
Lattice="9.3288 1.6853 1.1474 4.1748 8.5111 1.1474 5.5251 4.1719 10.3852" Properties=species:S:1:pos:R:3 comment="Pr5Nd3Tm | the Alexandria database | GGA-PBE | relaxed" formation_energy_ev_per_atom=0.37 magnetic_moment_mub_per_cell=0.000 spacegroup="C2/m (12)" pbc="T T T"
Pr 11.8671 6.8808 3.9754
Pr 5.8050 6.3521 1.1474
Pr 8.9124 6.7296 2.0088
Pr 8.2496 6.2292 5.3491
Pr 10.7790 8.1392 7.3307
Pr 10.1163 7.6387 10.6710
Pr 9.8666 9.5301 3.9754
Pr 7.6986 3.8444 1.1474
Pr 7.1616 7.4876 8.7045
Pr 9.1621 4.8382 8.7045
Nd 13.4047 10.1218 8.8473
Nd 13.3691 10.0949 5.5785
Nd 0.0000 0.0000 0.0000
Nd 2.7625 2.0860 5.1926
Nd 5.6239 4.2466 3.8326
Nd 5.6595 4.2735 7.1014
Tm 16.7958 12.6824 11.1065
Tm 2.2328 1.6860 1.5733



[3]
11
Lattice="-6.8996 2.0994 -4.6829 0.8720 -4.1980 -5.3064 -4.4967 -4.4969 2.4696" Properties=species:S:1:pos:R:3 comment="Pr2Nd7Tm2 | the Alexandria database | GGA-PBE | relaxed" formation_energy_ev_per_atom=0.17 polymorph_energy_mev_per_atom=48 magnetic_moment_mub_per_cell=0.000 spacegroup="C2/m (12)" pbc="T T T"
Pr -7.2940 -1.7170 -5.1019
Pr -3.2302 -4.8785 -2.4177
Nd -3.4555 -2.2609 -0.1500
Nd -9.2385 -4.4553 -4.2270
Nd -7.0688 -4.3346 -7.3696
Nd -1.2857 -2.1402 -3.2926
Nd 0.0000 0.0000 0.0000
Nd -5.8472 -5.0616 -4.2316
Nd -4.6770 -1.5339 -3.2880
Tm -6.9240 -3.3903 -1.3527
Tm -3.6002 -3.2052 -6.1669



[4]
12
Lattice="12.1017 -1.4883 0.0000 1.8819 6.0993 0.0000 0.9409 3.0496 5.5308" Properties=species:S:1:pos:R:3 comment="Pr6Nd5Tm | the Alexandria database | GGA-PBE | relaxed" formation_energy_ev_per_atom=0.01 magnetic_moment_mub_per_cell=0.000 spacegroup="C2/m (12)" pbc="T T T"
Pr 9.5640 0.3930 1.8338
Pr 4.4196 4.2180 1.8338
Pr 3.4773 1.1545 0.0000
Pr 10.5063 3.4565 0.0000
Pr 10.5049 3.4426 3.6970
Pr 5.3606 7.2677 3.6970
Nd 6.9918 2.3055 3.6898
Nd 0.9409 3.0497 1.8468
Nd 6.9918 2.3055 0.0000
Nd 1.8819 6.0993 3.6841
Nd 7.9327 5.3551 1.8411
Tm 0.0000 0.0000 0.0000



[5]
19
Lattice="5.4071 7.7551 -0.3364 -5.4071 7.7551 -0.3364 0.0000 0.8594 8.1003" Properties=species:S:1:pos:R:3 comment="Pr12Nd5Tm2 | the Alexandria database | GGA-PBE | relaxed" formation_energy_ev_per_atom=0.12 polymorph_energy_mev_per_atom=0 magnetic_moment_mub_per_cell=0.000 spacegroup="C2/m (12)" pbc="T T T"
Pr 0.0000 13.6204 0.2207
Pr 2.9682 10.8023 1.2174
Pr -2.9682 10.8023 1.2174
Pr 2.4332 9.9312 4.5667
Pr -2.4332 9.9312 4.5667
Pr 0.0000 8.8139 1.9774
Pr 0.0000 7.5558 5.4500
Pr -2.4332 6.4385 2.8607
Pr 2.4332 6.4385 2.8607
Pr -2.9682 5.5674 6.2100
Pr 2.9682 5.5674 6.2100
Pr 0.0000 2.7493 7.2067
Nd 0.0000 12.1765 3.3746
Nd 0.0000 10.9792 6.9413
Nd 0.0000 0.4297 4.0501
Nd 0.0000 5.3905 0.4861
Nd 0.0000 4.1931 4.0528
Tm -2.4816 7.7551 -0.3364
Tm 2.4816 7.7551 -0.3364



[6]
11
Lattice="-1.0968 2.0079 2.8577 -3.2544 1.6743 -0.0808 -15.3994 -25.2467 14.1732" Properties=species:S:1:pos:R:3 comment="Pr3Nd6Tm2 | the Alexandria database | GGA-PBE | relaxed" formation_energy_ev_per_atom=0.02 polymorph_energy_mev_per_atom=0 magnetic_moment_mub_per_cell=0.000 spacegroup="R-3m (166)" pbc="T T T"
Pr 0.0000 0.0000 0.0000
Pr -16.9928 -20.3106 14.7828
Pr -2.7578 -1.2539 2.1673
Nd -8.2279 -3.6756 6.4587
Nd -11.5226 -17.8890 10.4914
Nd -11.9700 -10.7778 10.0126
Nd -7.7805 -10.7867 6.9375
Nd -5.4882 -2.4560 4.3086
Nd -14.2623 -19.1086 12.6415
Tm -8.0014 -7.2258 6.6954
Tm -11.7492 -14.3387 10.2547



[7]
10
Lattice="-4.0773 -0.1350 -3.8049 -1.0233 -5.9968 6.6522 0.7252 7.9352 4.1631" Properties=species:S:1:pos:R:3 comment="Pr2NdTm7 | the Alexandria database | GGA-PBE | relaxed" formation_energy_ev_per_atom=0.22 polymorph_energy_mev_per_atom=54 magnetic_moment_mub_per_cell=0.000 spacegroup="P-1 (2)" pbc="T T T"
Pr -2.3815 -0.5961 4.1627
Pr -1.9939 2.3995 2.8479
Nd 0.0000 0.0000 0.0000
Tm -1.0798 -2.1739 7.1045
Tm -3.2956 3.9773 -0.0940
Tm -1.0714 1.3880 6.7894
Tm -3.3040 0.4154 0.2211
Tm -2.3046 -3.8719 4.5210
Tm -2.0709 5.6753 2.4895
Tm -2.5503 -3.0659 1.4237



[8]
16
Lattice="-5.4982 -3.5277 -3.0732 0.9703 -5.4933 4.5699 -6.4781 4.3466 6.6003" Properties=species:S:1:pos:R:3 comment="PrNd4Tm3 | the Alexandria database | GGA-PBE | relaxed" formation_energy_ev_per_atom=0.02 polymorph_energy_mev_per_atom=0 magnetic_moment_mub_per_cell=0.000 spacegroup="Pmna (53)" pbc="T T T"
Pr -1.9628 -6.2179 2.1682
Pr -5.6862 -1.2974 3.1838
Tm -5.1967 -5.2331 -1.6543
Tm -6.1565 2.0564 4.4681
Tm -8.4562 -2.4762 5.1975
Tm -2.4529 -2.2790 7.0038
Tm -5.2165 -4.6500 1.8967
Tm -2.9181 -0.1165 1.1686
Nd -4.7116 -7.9808 0.6313
Nd -2.4482 -3.4701 -0.1177
Nd -8.9379 0.2708 2.9129
Nd -5.6747 -0.6913 6.7532
Nd -5.2012 -4.0429 5.4679
Nd -2.9377 0.4668 4.7197
Nd -2.4340 -2.8657 3.4515
Nd -5.7005 -1.9014 -0.3856



[9]
14
Lattice="-2.8763 -7.9520 3.2534 8.7723 -1.8802 1.2655 -6.1198 5.6765 3.5340" Properties=species:S:1:pos:R:3 comment="Pr2NdTm4 | the Alexandria database | GGA-PBE | relaxed" formation_energy_ev_per_atom=0.26 magnetic_moment_mub_per_cell=0.000 spacegroup="Imma (74)" pbc="T T T"
Pr -3.0977 -1.4179 5.1583
Pr 4.3480 -5.1961 4.0245
Pr -0.0381 -4.2559 3.3913
Pr -1.6598 2.5584 3.5318
Nd 1.9248 0.9000 2.8584
Nd 0.8754 -1.4598 0.6710
Tm -2.9416 -5.9674 3.8368
Tm 2.8655 -2.5445 2.9461
Tm -1.4991 -3.9051 6.4420
Tm -6.6240 -1.7967 5.0888
Tm -2.2476 -0.6865 1.7941
Tm -4.6968 1.0697 3.8748
Tm 0.4283 -1.0385 5.2283
Tm 2.1714 -7.8256 4.9886



[10]
9
Lattice="6.0435 0.0000 0.0000 -3.0218 5.5439 -8.1906 0.0000 -2.4671 12.9033" Properties=species:S:1:pos:R:3 comment="Pr4Nd3Tm2 | the Alexandria database | GGA-PBE | relaxed" formation_energy_ev_per_atom=0.10 polymorph_energy_mev_per_atom=82 magnetic_moment_mub_per_cell=0.000 spacegroup="C2/m (12)" pbc="T T T"
Pr 0.0000 2.0067 3.2274
Pr 3.0217 1.0702 1.4852
Pr 0.0000 -0.8346 9.6145
Pr 3.0217 3.9114 -4.9018
Nd 0.0000 3.4970 -0.1460
Nd 0.0000 0.0000 0.0000
Nd 3.0217 -0.4202 4.8586
Tm 0.0000 0.5263 6.3867
Tm 3.0217 2.5506 -1.6741



[11]
11
Lattice="-4.3584 0.0702 -3.4969 2.7606 -8.5105 -3.6115 -6.0315 0.3199 7.5240" Properties=species:S:1:pos:R:3 comment="Pr3Nd3Tm5 | the Alexandria database | GGA-PBE | relaxed" formation_energy_ev_per_atom=0.77 magnetic_moment_mub_per_cell=0.000 spacegroup="P-62m (189)" pbc="T T T"
Pr -4.2432 -5.1331 0.7203
Pr -4.4049 0.1531 1.0280
Pr -1.1605 -3.1054 -3.0811
Nd -1.3954 -3.4941 1.6691
Nd 1.5829 -4.8799 -2.0708
Nd -3.4585 0.1834 4.3142
Tm -5.2801 -2.5885 2.0637
Tm -2.3493 -5.5319 -1.6481
Tm -3.0489 -2.1426 -0.7082
Tm -6.6071 0.2699 3.7751
Tm -0.1526 -6.2126 -4.3997



[12]
19
Lattice="8.7556 0.6886 0.8250 -0.6467 8.7588 0.8250 -0.6467 -0.7535 8.7653" Properties=species:S:1:pos:R:3 comment="Pr12Nd6Tm | the Alexandria database | GGA-PBE | relaxed" formation_energy_ev_per_atom=0.12 polymorph_energy_mev_per_atom=0 magnetic_moment_mub_per_cell=0.000 spacegroup="R-3 (148)" pbc="T T T"
Pr 6.2124 4.8969 4.8947
Pr 2.9535 6.7380 5.6927
Pr 3.8984 3.5860 7.6468
Pr 1.2499 3.7972 5.5205
Pr 4.5087 1.9560 4.7225
Pr 3.5638 5.1080 2.7684
Pr -0.2003 1.4075 3.3308
Pr 6.0406 5.4195 9.8049
Pr 4.4411 8.4333 8.4352
Pr 7.6626 7.2865 7.0844
Pr 1.4216 3.2745 0.6103
Pr 3.0211 0.2607 1.9801
Nd 5.6865 8.2012 3.9729
Nd 5.9091 2.7028 1.6361
Nd 0.2179 6.0116 2.9516
Nd 1.7757 0.4928 6.4423
Nd 1.5532 5.9912 8.7792
Nd 7.2443 2.6824 7.4636
Tm 0.0000 0.0000 0.0000



[13]
10
Lattice="3.5091 0.0000 0.0000 0.0000 13.9652 -4.7892 0.0000 -10.5746 10.3025" Properties=species:S:1:pos:R:3 comment="Pr2NdTm7 | the Alexandria database | GGA-PBE | relaxed" formation_energy_ev_per_atom=0.17 polymorph_energy_mev_per_atom=0 magnetic_moment_mub_per_cell=0.001 spacegroup="Cmmm (65)" pbc="T T T"
Pr 1.7545 6.8062 -0.3865
Pr 1.7545 -3.4156 5.8998
Nd 0.0000 0.0000 0.0000
Tm 0.0000 9.4539 -2.0149
Tm 0.0000 -6.0634 7.5281
Tm 1.7545 -1.5823 2.8497
Tm 1.7545 4.9729 2.6635
Tm 1.7545 3.2571 -0.1265
Tm 1.7545 0.1335 5.6397
Tm 1.7545 1.6953 2.7566



[14]
15
Lattice="-5.0900 4.2116 8.4989 -8.4982 2.1264 0.6738 -3.9602 -4.2851 6.5689" Properties=species:S:1:pos:R:3 comment="Pr4NdTm10 | the Alexandria database | GGA-PBE | relaxed" formation_energy_ev_per_atom=0.44 magnetic_moment_mub_per_cell=0.000 spacegroup="I4/m (87)" pbc="T T T"
Pr -9.3929 2.7345 6.6539
Pr -13.1438 2.0685 11.5547
Pr -4.4046 -0.0155 4.1869
Pr -8.1556 -0.6815 9.0877
Nd 0.0000 0.0000 0.0000
Tm -7.5017 -0.0264 5.7461
Tm -10.0807 -0.1858 12.2053
Tm -6.9802 2.7553 10.3895
Tm -12.2863 0.7192 8.2206
Tm -10.8397 5.0290 9.1666
Tm -7.4677 2.2388 3.5362
Tm -10.0467 2.0794 9.9955
Tm -6.7087 -2.9760 6.5750
Tm -5.2622 1.3338 7.5209
Tm -10.5683 -0.7023 5.3521



[15]
11
Lattice="-0.2825 2.6199 2.5093 -4.1691 1.7923 -2.3452 -9.1583 -14.1046 11.0536" Properties=species:S:1:pos:R:3 comment="Pr4Nd3Tm4 | the Alexandria database | GGA-PBE | relaxed" formation_energy_ev_per_atom=0.02 polymorph_energy_mev_per_atom=0 magnetic_moment_mub_per_cell=0.000 spacegroup="Immm (71)" pbc="T T T"
Pr -3.2832 1.1002 1.1182
Pr -10.3270 -10.7927 10.0995
Pr -9.4366 -5.3280 7.1332
Pr -4.1734 -4.3644 4.0841
Nd -5.3424 -1.0533 3.1324
Nd -8.2675 -8.6391 8.0850
Nd -0.0001 0.0000 0.0001
Tm -2.0922 -2.1880 2.0482
Tm -6.1857 -6.4639 6.0496
Tm -7.4243 -3.2286 5.1677
Tm -11.5178 -7.5044 9.1693



[16]
11
Lattice="5.7448 1.1251 1.6236 0.5033 7.9687 1.3147 0.5033 -1.5674 7.9228" Properties=species:S:1:pos:R:3 comment="Pr2Nd2Tm7 | the Alexandria database | GGA-PBE | relaxed" formation_energy_ev_per_atom=0.15 polymorph_energy_mev_per_atom=25 magnetic_moment_mub_per_cell=0.000 spacegroup="C2/m (12)" pbc="T T T"
Pr 3.3757 0.9792 7.3598
Pr 3.3757 6.5472 3.5014
Nd 5.0746 3.4727 5.0114
Nd 1.6768 4.0537 5.8498
Tm 1.3404 -0.2073 5.0467
Tm 5.4109 2.7284 9.2830
Tm 5.4109 7.7337 5.8145
Tm 1.3404 4.7980 1.5782
Tm 0.0000 0.0000 0.0000
Tm 4.0714 5.5429 7.9988
Tm 2.6800 1.9835 2.8623



[17]
11
Lattice="-4.9245 -3.5441 -6.1848 8.5984 -1.7273 5.0662 0.7737 0.3751 10.0917" Properties=species:S:1:pos:R:3 comment="Pr2Nd2Tm7 | the Alexandria database | GGA-PBE | relaxed" formation_energy_ev_per_atom=0.13 polymorph_energy_mev_per_atom=0 magnetic_moment_mub_per_cell=0.000 spacegroup="C2/m (12)" pbc="T T T"
Pr 7.4392 -1.4915 12.2067
Pr -2.9916 -3.4047 -3.2336
Nd 3.6353 -2.8274 3.5800
Nd 0.8123 -2.0689 5.3931
Tm 6.9687 -2.3556 8.5323
Tm 0.3368 -3.3086 -1.3948
Tm -2.5211 -2.5407 0.4408
Tm 4.1107 -1.5877 10.3678
Tm 0.0000 0.0000 0.0000
Tm 0.5211 -2.8500 2.0036
Tm 3.9265 -2.0462 6.9695



[18]
11
Lattice="-1.2109 -5.5861 0.7165 4.5025 1.3819 -4.7740 7.9560 -0.7915 7.2744" Properties=species:S:1:pos:R:3 comment="Pr3Nd4Tm4 | the Alexandria database | GGA-PBE | relaxed" formation_energy_ev_per_atom=0.15 polymorph_energy_mev_per_atom=132 magnetic_moment_mub_per_cell=0.000 spacegroup="Amm2 (38)" pbc="T T T"
Pr 5.5083 -1.3913 -1.5383
Pr 8.8701 -1.7257 1.5354
Pr 1.9671 -0.7123 -2.2290
Nd 7.6052 -4.1233 3.8627
Nd 3.0500 -3.6701 -0.3023
Nd 6.3592 -4.2702 0.6113
Nd 2.9713 -4.0882 -3.6945
Tm 4.2323 -3.5001 3.0213
Tm -0.1633 -2.9531 -0.1427
Tm 6.3506 -0.8480 4.1206
Tm 3.2522 -0.5398 1.2877



[19]
17
Lattice="6.9434 0.0000 0.0000 0.0000 8.5649 -4.9449 0.0000 0.0000 9.8899" Properties=species:S:1:pos:R:3 comment="Pr10NdTm6 | the Alexandria database | GGA-PBE | relaxed" formation_energy_ev_per_atom=0.13 magnetic_moment_mub_per_cell=0.000 spacegroup="P-31m (162)" pbc="T T T"
Pr 5.7070 6.1745 3.5649
Pr 5.7070 0.0000 2.7601
Pr 5.7070 2.3903 -1.3801
Pr 1.2363 2.3903 1.3801
Pr 1.2363 0.0000 7.1297
Pr 1.2363 6.1745 -3.5649
Pr 3.4717 2.8550 4.9449
Pr 3.4717 5.7099 0.0000
Pr 0.0000 5.7099 0.0000
Pr 0.0000 2.8550 4.9449
Nd 3.4717 0.0000 0.0000
Tm 4.7329 3.1340 1.8094
Tm 4.7329 0.0000 6.2710
Tm 4.7329 5.4309 -3.1355
Tm 2.2104 5.4309 3.1355
Tm 2.2104 0.0000 3.6188
Tm 2.2104 3.1340 -1.8094



[20]
10
Lattice="6.4559 0.0000 -2.6203 -0.6979 9.0587 -1.7195 -1.0598 -0.5302 6.6522" Properties=species:S:1:pos:R:3 comment="Pr6Nd3Tm | the Alexandria database | GGA-PBE | relaxed" formation_energy_ev_per_atom=0.21 polymorph_energy_mev_per_atom=75 magnetic_moment_mub_per_cell=0.000 spacegroup="C2/m (12)" pbc="T T T"
Pr 2.1506 2.5303 0.8944
Pr -0.8387 5.9982 2.7925
Pr 2.5476 5.9982 1.4180
Pr 5.5370 2.5303 -0.4800
Pr 1.5719 0.3484 3.8729
Pr 3.1264 8.1801 -1.5604
Nd 4.8396 2.5677 2.6607
Nd -0.1414 5.9608 -0.3483
Nd 0.0000 0.0000 0.0000
Tm 2.8790 4.5294 -2.1699